No. 1
A geometry-optimized Cd2SeS structure, computed with PBEsol.

Computed properties:
- Uncorrected energy: -51.92 eV for the cell shown
- Raw formation energy: -227 kJ/mol of formula units
- Spin magnetization: 0.00 μB per formula unit

Geometry as CIF:
```
data_Cd2SeS
_space_group_name_H-M_alt 'I -4 2 d'
_space_group_IT_number 122
_space_group_name_Hall 'I -4 2bw'
_cell_length_a 5.957
_cell_length_b 5.957
_cell_length_c 11.885
_cell_angle_alpha 90.00
_cell_angle_beta 90.00
_cell_angle_gamma 90.00
loop_
_atom_site_label
_atom_site_type_symbol
_atom_site_fract_x
_atom_site_fract_y
_atom_site_fract_z
Cd1 Cd 0.235 0.250 0.125
Se1 Se 0.000 0.000 0.500
S1 S 0.000 0.000 0.000
```


No. 2
A geometry-optimized NiMo2Se structure, computed with PBEsol.

Computed properties:
- Uncorrected energy: -32.58 eV for the cell shown
- Raw formation energy: 93 kJ/mol of formula units
- DOS(E_F): 2.93 states/eV/cell
- Spin magnetization: 0.00 μB per formula unit

Geometry as CIF:
```
data_NiMo2Se
_space_group_name_H-M_alt 'P 1 2/m 1'
_space_group_IT_number 10
_space_group_name_Hall '-P 2y'
_cell_length_a 2.910
_cell_length_b 3.865
_cell_length_c 5.251
_cell_angle_alpha 90.00
_cell_angle_beta 104.53
_cell_angle_gamma 90.00
loop_
_atom_site_label
_atom_site_type_symbol
_atom_site_fract_x
_atom_site_fract_y
_atom_site_fract_z
Ni1 Ni 0.000 0.000 0.000
Mo1 Mo 0.443 0.500 0.757
Se1 Se 0.000 0.000 0.500
```


No. 3
A geometry-optimized BaHf3Sc structure, computed with PBEsol.

Computed properties:
- Uncorrected energy: -34.64 eV for the cell shown
- DOS(E_F): 9.44 states/eV/cell
- Spin magnetization: 0.00 μB per formula unit
- DFT formation energy: 1.124 eV per atom

Geometry as CIF:
```
data_BaHf3Sc
_space_group_name_H-M_alt 'P m -3 m'
_space_group_IT_number 221
_space_group_name_Hall '-P 4 2 3'
_cell_length_a 5.219
_cell_length_b 5.219
_cell_length_c 5.219
_cell_angle_alpha 90.00
_cell_angle_beta 90.00
_cell_angle_gamma 90.00
loop_
_atom_site_label
_atom_site_type_symbol
_atom_site_fract_x
_atom_site_fract_y
_atom_site_fract_z
Ba1 Ba 0.000 0.000 0.000
Hf1 Hf 0.000 0.500 0.500
Sc1 Sc 0.500 0.500 0.500
```


- Which of these has the lowest uncorrected energy?
  Cd2SeS


- Which value of spin magnetization does entry 3 give?
  0.00 μB per formula unit